No. 1
Density functional theory data (GGA-PBE) for TbThMnAg after structural relaxation.

Cell and atoms, written as POSCAR:
```
TbThMnAg
1.0
0.000 3.634 3.634
3.634 0.000 3.634
3.634 3.634 0.000
Tb Th Mn Ag
1 1 1 1
direct
0.000 0.000 0.000 Tb
0.500 0.500 0.500 Th
0.250 0.250 0.250 Mn
0.750 0.750 0.750 Ag
```

Output
Crystal system = cubic


No. 2
Density functional theory data (GGA-PBE) for TbYMnAg after structural relaxation.

Cell and atoms, written as POSCAR:
```
TbYMnAg
1.0
0.000 3.614 3.614
3.614 0.000 3.614
3.614 3.614 0.000
Tb Y Mn Ag
1 1 1 1
direct
0.000 0.000 0.000 Tb
0.500 0.500 0.500 Y
0.750 0.750 0.750 Mn
0.250 0.250 0.250 Ag
```

Output
Crystal system = cubic


No. 3
Density functional theory data (GGA-PBE) for Mn2TcAg after structural relaxation.

Cell and atoms, written as POSCAR:
```
Mn2TcAg
1.0
2.702 0.000 0.000
0.000 2.702 0.000
0.000 0.000 7.771
Mn Tc Ag
2 1 1
direct
0.000 0.000 0.000 Mn
0.500 0.500 0.212 Mn
0.000 0.000 0.429 Tc
0.500 0.500 0.723 Ag
```

Output
Crystal system = tetragonal


No. 4
Density functional theory data (GGA-PBE) for MnTcAg after structural relaxation.

Cell and atoms, written as POSCAR:
```
MnTcAg
1.0
0.000 2.944 2.944
2.944 0.000 2.944
2.944 2.944 0.000
Mn Tc Ag
1 1 1
direct
0.000 0.000 0.000 Mn
0.750 0.750 0.750 Tc
0.250 0.250 0.250 Ag
```

Output
Crystal system = cubic
ΔE to the lowest computed polymorph = 449 meV/atom


No. 5
Density functional theory data (GGA-PBE) for Mn2TcAg after structural relaxation.

Cell and atoms, written as POSCAR:
```
Mn2TcAg
1.0
2.910 0.000 0.000
0.000 2.910 0.000
0.000 0.000 7.115
Mn Tc Ag
2 1 1
direct
0.000 0.000 0.225 Mn
0.000 0.000 0.775 Mn
0.500 0.500 0.000 Tc
0.500 0.500 0.500 Ag
```

Output
Crystal system = tetragonal


No. 6
Density functional theory data (GGA-PBE) for MnTcAg after structural relaxation.

Cell and atoms, written as POSCAR:
```
MnTcAg
1.0
-1.414 1.414 5.531
1.414 -1.414 5.531
1.414 1.414 -5.531
Mn Tc Ag
1 1 1
direct
0.000 0.000 0.000 Mn
0.379 0.379 0.000 Tc
0.681 0.681 0.000 Ag
```

Output
Crystal system = tetragonal
ΔE to the lowest computed polymorph = 16 meV/atom


No. 7
Density functional theory data (GGA-PBE) for MnTcAg2 after structural relaxation.

Cell and atoms, written as POSCAR:
```
MnTcAg2
1.0
4.864 -1.372 0.000
4.864 1.372 0.000
-0.758 0.000 4.792
Mn Tc Ag
1 1 2
direct
0.000 0.000 0.000 Mn
0.500 0.500 0.500 Tc
0.250 0.250 0.750 Ag
0.750 0.750 0.250 Ag
```

Output
Crystal system = monoclinic
ΔE to the lowest computed polymorph = 187 meV/atom


No. 8
Density functional theory data (GGA-PBE) for MnTcAg2 after structural relaxation.

Cell and atoms, written as POSCAR:
```
MnTcAg2
1.0
1.916 -1.921 0.000
1.916 1.921 0.000
0.000 0.000 8.734
Mn Tc Ag
1 1 2
direct
0.000 0.000 0.000 Mn
0.000 0.000 0.500 Tc
0.500 0.500 0.243 Ag
0.500 0.500 0.757 Ag
```

Output
Crystal system = orthorhombic
ΔE to the lowest computed polymorph = 227 meV/atom


No. 9
Density functional theory data (GGA-PBE) for Mn2Tc2Ag after structural relaxation.

Cell and atoms, written as POSCAR:
```
Mn2Tc2Ag
1.0
7.168 0.000 0.000
0.000 7.168 0.000
0.000 0.000 2.712
Mn Tc Ag
4 4 2
direct
0.130 0.370 0.000 Mn
0.370 0.870 0.000 Mn
0.630 0.130 0.000 Mn
0.870 0.630 0.000 Mn
0.161 0.661 0.500 Tc
0.339 0.161 0.500 Tc
0.661 0.839 0.500 Tc
0.839 0.339 0.500 Tc
0.000 0.000 0.000 Ag
0.500 0.500 0.000 Ag
```

Output
Crystal system = tetragonal


No. 10
Density functional theory data (GGA-PBE) for Mn2TcAg after structural relaxation.

Cell and atoms, written as POSCAR:
```
Mn2TcAg
1.0
1.371 0.791 8.840
-1.371 0.791 8.840
0.000 -1.583 8.840
Mn Tc Ag
2 1 1
direct
0.000 0.000 0.000 Mn
0.257 0.257 0.257 Mn
0.518 0.518 0.518 Tc
0.756 0.756 0.756 Ag
```

Output
Crystal system = trigonal


No. 11
Density functional theory data (GGA-PBE) for MnTcAg2 after structural relaxation.

Cell and atoms, written as POSCAR:
```
MnTcAg2
1.0
-1.438 2.301 4.860
1.438 -2.301 4.860
1.438 2.301 -4.860
Mn Tc Ag
1 1 2
direct
0.000 0.000 0.000 Mn
0.500 0.500 0.000 Tc
0.243 0.743 0.500 Ag
0.757 0.257 0.500 Ag
```

Output
Crystal system = orthorhombic
ΔE to the lowest computed polymorph = 232 meV/atom


No. 12
Density functional theory data (GGA-PBE) for MnTcAg2 after structural relaxation.

Cell and atoms, written as POSCAR:
```
MnTcAg2
1.0
1.401 0.809 9.470
-1.401 0.809 9.470
0.000 -1.617 9.470
Mn Tc Ag
1 1 2
direct
0.000 0.000 0.000 Mn
0.500 0.500 0.500 Tc
0.251 0.251 0.251 Ag
0.749 0.749 0.749 Ag
```

Output
Crystal system = trigonal
ΔE to the lowest computed polymorph = 235 meV/atom


| no. | VASP energy (eV per atom) | calculated formation energy (eV/atom) |
| --- | --- | --- |
| 1 | -5.949 | 0.069 |
| 2 | -5.784 | -0.005 |
| 3 | -7.603 | 0.286 |
| 4 | -6.659 | 0.803 |
| 5 | -7.644 | 0.246 |
| 6 | -7.092 | 0.370 |
| 7 | -5.843 | 0.466 |
| 8 | -5.803 | 0.507 |
| 9 | -8.106 | 0.278 |
| 10 | -7.563 | 0.326 |
| 11 | -5.798 | 0.511 |
| 12 | -5.795 | 0.514 |